This record from Alexandria describes a relaxed structure of ThZr2Ti. The functional is PBE.

a = 4.5361 Å, b = 4.5361 Å, c = 4.6131 Å
α = 90.00°, β = 90.00°, γ = 90.00°
Last column: nearest neighbours and their distance in Å.
Space group P4/mmm (No. 123)
Inequivalent atoms, fractional coordinates:
Th 0.0000 0.0000 0.0000  4 Ti 3.21, 8 Zr 3.23
Zr 0.0000 0.5000 0.5000  4 Zr 3.21, 4 Th 3.23, 4 Ti 3.23
Ti 0.5000 0.5000 0.0000  4 Th 3.21, 8 Zr 3.23

As for the calculated total energy: -0.2926 Ha/atom. The calculation puts the formation energy from the elements at 0.14 eV/atom.